1.
A relaxed GaFe3H crystal. Source: Alexandria via LeMat-Bulk, functional GGA-PBE.

Lattice parameters (Å, degrees): 6.407 6.407 5.065 93.40 93.40 33.08
Atoms (fractional coordinates):
1 Ga 0.088 0.088 0.371
2 Ga 0.912 0.912 0.629
3 Fe 0.103 0.103 0.880
4 Fe 0.300 0.300 0.372
5 Fe 0.309 0.309 0.865
6 Fe 0.691 0.691 0.135
7 Fe 0.700 0.700 0.628
8 Fe 0.897 0.897 0.120
9 H 0.405 0.405 0.142
10 H 0.595 0.595 0.858

For the total magnetization, the calculation gives 6.783 μB per formula unit. The total energy is -63.26 eV for the cell shown.

***

2.
A relaxed SrLi2Sb2 crystal. Source: Alexandria via LeMat-Bulk, functional GGA-PBE.

Lattice parameters (Å, degrees): 8.502 8.502 3.357 90.00 90.00 90.00
Atoms (fractional coordinates):
1 Sr 0.000 0.000 0.000
2 Sr 0.500 0.500 0.000
3 Li 0.113 0.387 0.000
4 Li 0.387 0.887 0.000
5 Li 0.613 0.113 0.000
6 Li 0.887 0.613 0.000
7 Sb 0.179 0.679 0.500
8 Sb 0.321 0.179 0.500
9 Sb 0.679 0.821 0.500
10 Sb 0.821 0.321 0.500

For the total magnetization, the calculation gives 0.000 μB per formula unit. The relative energy among the computed polymorphs is 54 kJ/mol of formula units. The uncorrected formation energy comes out at -0.630 eV per atom.

***

3.
A relaxed MnAlSb crystal. Source: Alexandria via LeMat-Bulk, functional GGA-PBE.

Lattice parameters (Å, degrees): 4.287 4.287 3.792 90.00 90.00 120.00
Atoms (fractional coordinates):
1 Mn 0.000 0.000 0.000
2 Al 0.333 0.667 0.811
3 Sb 0.667 0.333 0.353

For the total magnetization, the calculation gives 3.430 μB per formula unit. The relative energy among the computed polymorphs is 79 kJ/mol of formula units. The uncorrected formation energy comes out at 0.327 eV per atom.

***

4.
A relaxed ScPdPb crystal. Source: Alexandria via LeMat-Bulk, functional GGA-PBE.

Lattice parameters (Å, degrees): 4.703 4.703 3.293 90.00 90.00 120.00
Atoms (fractional coordinates):
1 Sc 0.000 0.000 0.000
2 Pd 0.333 0.667 0.500
3 Pb 0.667 0.333 0.500

For the total magnetization, the calculation gives 0.225 μB per formula unit. The value obtained for the formation energy is -515 meV per atom.

***

Number 2 is which compound?
SrLi2Sb2

***

Number 2 is which compound?
SrLi2Sb2